1.
# Pm2Ag

Pm2Ag after structural relaxation (PBE, the Alexandria database).

a b c (Å): 5.253 5.260 12.656
angles (deg): 90.00 90.00 90.00
Fractional coordinates of all 12 atoms:
Pm 0.000 0.000 0.148
Pm 0.000 0.000 0.852
Pm 0.000 0.500 0.352
Pm 0.000 0.500 0.648
Pm 0.500 0.000 0.352
Pm 0.500 0.000 0.648
Pm 0.500 0.500 0.148
Pm 0.500 0.500 0.852
Ag 0.000 0.000 0.500
Ag 0.000 0.500 0.000
Ag 0.500 0.000 0.000
Ag 0.500 0.500 0.500

Summary:
Spin magnetization: 0.63 μB/f.u.
Formation enthalpy at 0 K: -0.1494 eV per atom
Fermi-level density of states: 16.108 states/eV per cell
Space-group type: No. 69

---

2.
# Pm3Ag8

Pm3Ag8 after structural relaxation (PBE, the Alexandria database).

a b c (Å): 5.487 5.487 11.500
angles (deg): 106.97 106.97 49.72
Fractional coordinates of all 11 atoms:
Pm 0.000 0.000 0.000
Pm 0.492 0.492 0.658
Pm 0.508 0.508 0.342
Ag 0.155 0.155 0.542
Ag 0.191 0.191 0.301
Ag 0.247 0.247 0.812
Ag 0.329 0.329 0.073
Ag 0.671 0.671 0.927
Ag 0.753 0.753 0.188
Ag 0.809 0.809 0.699
Ag 0.845 0.845 0.458

Summary:
Spin magnetization: 0.00 μB/f.u.
Formation enthalpy at 0 K: -0.2008 eV per atom
Fermi-level density of states: 6.315 states/eV per cell
Space-group type: No. 12

---

What is the formula in the first record? Pm2Ag

---

Among the records above, which one has the lowest Fermi-level density of states? Pm3Ag8

---

Fermi-level density of states of number 2 (Pm3Ag8)? 6.315 states/eV per cell

---

What is the formula in the second record? Pm3Ag8